# HfTlS3 | the Alexandria database | GGA-PBE | optimized geometry
# Energy above the lowest structure with this stoichiometry, meV per atom: 1621
# Energy relative to the elements, uncorrected, eV/f.u.: 3.57
data_HfTlS3
_chemical_formula_sum 'Hf1 Tl1 S3'
_space_group_name_H-M_alt 'P m -3 m'
_space_group_IT_number 221
_space_group_name_Hall '-P 4 2 3'
_cell_length_a 4.9624
_cell_length_b 4.9624
_cell_length_c 4.9624
_cell_angle_alpha 90.00
_cell_angle_beta 90.00
_cell_angle_gamma 90.00
loop_
_atom_site_label
_atom_site_fract_x
_atom_site_fract_y
_atom_site_fract_z
Hf1 0.0000 0.0000 0.0000
Tl1 0.5000 0.5000 0.5000
S1 0.0000 0.5000 0.5000